5
Lattice="5.524 0.000 0.000 0.000 5.524 0.000 0.000 0.000 5.792" Properties=species:S:1:pos:R:3 comment="TlNiSb2Br PBE optimized geometry" e_tot_ha_per_atom=-0.09026 raw_formation_energy_mev_per_atom=1157 pbc="T T T"
Tl 0.000 0.000 0.000
Ni 2.762 2.762 0.000
Sb 0.000 2.762 2.896
Sb 2.762 0.000 2.896
Br 0.000 0.000 2.896